Crystalline MnAs at its relaxed geometry. Source: the Alexandria database, functional PBE.

Cell and atoms, written as POSCAR:
```
MnAs
1.0
0.000 3.062 3.062
3.062 0.000 3.062
3.062 3.062 0.000
Mn As
2 2
Cartesian
0.766 0.766 0.766
5.359 5.359 5.359
2.297 2.297 2.297
3.828 3.828 3.828
```

Summary:
Total DFT energy (no corrections) = -26.1 eV per cell
Crystal system = cubic